(1)
LaTlH | PBE | relaxed

Computed properties:
* density of states at the Fermi level: 2.778 states/eV/cell
* space-group type: R-3m
* excess energy over the best structure of this formula in the dataset: 10.8 kJ per mole of atoms

a b c (Å): 4.004 4.002 10.568
angles (deg): 100.88 90.00 120.02
Fractional positions:
La  0.716  0.432  0.647
La  0.284  0.568  0.353
Tl  0.868  0.736  0.105
Tl  0.132  0.264  0.895
H  0.362  0.724  0.585
H  0.638  0.276  0.415


(2)
LaTl2H2 | PBE | relaxed

Computed properties:
* density of states at the Fermi level: 2.246 states/eV/cell
* space-group type: I4/mmm
* excess energy over the best structure of this formula in the dataset: 43.3 kJ per mole of atoms

a b c (Å): 3.824 3.824 7.558
angles (deg): 75.34 75.34 90.00
Fractional positions:
H  0.750  0.250  0.500
H  0.250  0.750  0.500
Tl  0.345  0.345  0.311
Tl  0.655  0.655  0.689
La  0.000  0.000  0.000


(3)
La3Tl2H | PBE | relaxed

Computed properties:
* density of states at the Fermi level: 5.541 states/eV/cell
* DFT total energy: -4.14 eV per atom
* space-group type: C2/c

a b c (Å): 6.707 6.925 8.138
angles (deg): 99.96 114.34 90.00
Fractional positions:
La  0.420  0.250  0.000
La  0.580  0.750  0.000
La  0.028  0.100  0.263
La  0.765  0.400  0.737
La  0.235  0.600  0.263
La  0.972  0.900  0.737
Tl  0.790  0.561  0.357
Tl  0.567  0.061  0.357
Tl  0.433  0.939  0.643
Tl  0.210  0.439  0.643
H  0.945  0.750  0.000
H  0.055  0.250  0.000


(4)
LaTlH | PBE | relaxed

Computed properties:
* density of states at the Fermi level: 3.321 states/eV/cell
* space-group type: P3m1
* excess energy over the best structure of this formula in the dataset: 13.1 kJ per mole of atoms

a b c (Å): 5.405 3.920 3.920
angles (deg): 120.00 90.00 90.00
Fractional positions:
H  0.165  0.000  0.000
Tl  0.668  0.333  0.667
La  0.167  0.667  0.333


Number 1: ρ 7.99 g cm⁻³. Number 2: ρ 8.84 g cm⁻³. Number 3: ρ 8.12 g cm⁻³. Number 4: ρ 7.95 g cm⁻³.